# ScTi2Zn2 PBE relaxed
# ΔH_f (0 K): -0.04 eV per atom
# size of the total moment: 2.3 μB per formula unit
# D(E_F): 12.3 states/eV per cell
data_ScTi2Zn2
_chemical_formula_sum 'Sc2 Ti4 Zn4'
_cell_length_a 7.851
_cell_length_b 7.851
_cell_length_c 2.851
_cell_angle_alpha 90.00
_cell_angle_beta 90.00
_cell_angle_gamma 90.00
_symmetry_space_group_name_H-M 'P 4/m b m'
_symmetry_Int_Tables_number 127
_symmetry_space_group_name_Hall '-P 4 2ab'
loop_
_atom_site_label
_atom_site_fract_x
_atom_site_fract_y
_atom_site_fract_z
Sc1 0.000 0.000 0.000
Ti1 0.116 0.384 0.000
Zn1 0.180 0.680 0.500